Entry 1:
! Mg2ZnGa6, relaxed, DFT PBE; values from VASP
&SYSTEM
  ibrav = 0, nat = 9, ntyp = 3
/
ATOMIC_SPECIES
Mg 24.30 Mg.upf
Zn 65.41 Zn.upf
Ga 69.72 Ga.upf
CELL_PARAMETERS angstrom
5.0284 -2.8312 0.0000
5.0284 2.8312 0.0000
-0.7379 0.0000 5.9834
ATOMIC_POSITIONS crystal
Mg 0.1677 0.1677 0.3630
Mg 0.8323 0.8323 0.6370
Zn 0.5000 0.5000 0.5000
Ga 0.1449 0.6711 0.1609
Ga 0.3250 0.3250 0.7988
Ga 0.3289 0.8551 0.8391
Ga 0.6711 0.1449 0.1609
Ga 0.6750 0.6750 0.2012
Ga 0.8551 0.3289 0.8391
! **Space group**: C2/m
! **Total moment**: 0.0 μB/cell
! **DOS(E_F)**: 0.27 states/eV per atom
! **Formation energy from the elements**: -0.0446 eV/atom
! **Crystal system**: monoclinic
! **Electronic total energy**: -2.5585 eV/atom
! **ρ**: 5.19 g/cm3

Entry 2:
! MgZn2Ga2, relaxed, DFT PBE; values from VASP
&SYSTEM
  ibrav = 0, nat = 5, ntyp = 3
/
ATOMIC_SPECIES
Mg 24.30 Mg.upf
Zn 65.41 Zn.upf
Ga 69.72 Ga.upf
CELL_PARAMETERS angstrom
2.6386 -3.3323 0.0000
2.6386 3.3323 0.0000
-1.6484 0.0000 5.3164
ATOMIC_POSITIONS crystal
Mg 0.0000 0.0000 0.0000
Zn 0.1972 0.8028 0.5000
Zn 0.8028 0.1972 0.5000
Ga 0.4216 0.4216 0.7617
Ga 0.5784 0.5784 0.2383
! **Space group**: C2/m
! **Total moment**: 0.0 μB/cell
! **DOS(E_F)**: 0.29 states/eV per atom
! **Formation energy from the elements**: -0.0287 eV/atom
! **Crystal system**: monoclinic
! **Electronic total energy**: -2.0680 eV/atom
! **ρ**: 5.23 g/cm3

Entry 3:
! Mg3Zn5Ga6, relaxed, DFT PBE; values from VASP
&SYSTEM
  ibrav = 0, nat = 28, ntyp = 3
/
ATOMIC_SPECIES
Mg 24.30 Mg.upf
Zn 65.41 Zn.upf
Ga 69.72 Ga.upf
CELL_PARAMETERS angstrom
4.3758 0.0000 0.0000
0.0000 12.8078 0.0000
0.0000 0.0000 9.0985
ATOMIC_POSITIONS crystal
Mg 0.2500 0.0453 0.2431
Mg 0.2500 0.4547 0.2431
Mg 0.2500 0.7500 0.2436
Mg 0.7500 0.2500 0.7564
Mg 0.7500 0.5453 0.7569
Mg 0.7500 0.9547 0.7569
Zn 0.2500 0.0943 0.8454
Zn 0.2500 0.4057 0.8454
Zn 0.2500 0.6462 0.5319
Zn 0.2500 0.7500 0.7959
Zn 0.2500 0.8538 0.5319
Zn 0.7500 0.1462 0.4681
Zn 0.7500 0.2500 0.2041
Zn 0.7500 0.3538 0.4681
Zn 0.7500 0.5943 0.1546
Zn 0.7500 0.9057 0.1546
Ga 0.2500 0.0626 0.5725
Ga 0.2500 0.2500 0.0294
Ga 0.2500 0.2500 0.3819
Ga 0.2500 0.4374 0.5725
Ga 0.2500 0.5908 0.9834
Ga 0.2500 0.9092 0.9834
Ga 0.7500 0.0908 0.0166
Ga 0.7500 0.4092 0.0166
Ga 0.7500 0.5626 0.4275
Ga 0.7500 0.7500 0.6181
Ga 0.7500 0.7500 0.9706
Ga 0.7500 0.9374 0.4275
! **Space group**: Pmmn
! **Total moment**: 0.0 μB/cell
! **DOS(E_F)**: 0.26 states/eV per atom
! **Formation energy from the elements**: -0.0358 eV/atom
! **Crystal system**: orthorhombic
! **Electronic total energy**: -2.1298 eV/atom
! **ρ**: 5.33 g/cm3

Entry 4:
! Mg4Zn5Ga2, relaxed, DFT PBE; values from VASP
&SYSTEM
  ibrav = 0, nat = 11, ntyp = 3
/
ATOMIC_SPECIES
Mg 24.30 Mg.upf
Zn 65.41 Zn.upf
Ga 69.72 Ga.upf
CELL_PARAMETERS angstrom
6.4987 0.0000 0.0000
0.0000 4.2151 0.0000
-1.2670 0.0000 7.6224
ATOMIC_POSITIONS crystal
Mg 0.2095 0.0000 0.3897
Mg 0.2371 0.0000 0.9309
Mg 0.7629 0.0000 0.0691
Mg 0.7905 0.0000 0.6103
Zn 0.1596 0.5000 0.6307
Zn 0.4829 0.5000 0.1628
Zn 0.5000 0.5000 0.5000
Zn 0.5171 0.5000 0.8372
Zn 0.8404 0.5000 0.3693
Ga 0.0945 0.5000 0.1578
Ga 0.9055 0.5000 0.8422
! **Space group**: P2/m
! **Total moment**: 0.0 μB/cell
! **DOS(E_F)**: 0.22 states/eV per atom
! **Formation energy from the elements**: -0.0372 eV/atom
! **Crystal system**: monoclinic
! **Electronic total energy**: -1.7465 eV/atom
! **ρ**: 4.48 g/cm3

Entry 5:
! MgZn3Ga, relaxed, DFT PBE; values from VASP
&SYSTEM
  ibrav = 0, nat = 10, ntyp = 3
/
ATOMIC_SPECIES
Mg 24.30 Mg.upf
Zn 65.41 Zn.upf
Ga 69.72 Ga.upf
CELL_PARAMETERS angstrom
5.0660 0.0000 0.0000
0.0000 5.4103 0.0000
-2.2809 0.0000 6.3496
ATOMIC_POSITIONS crystal
Mg 0.2132 0.2500 0.1999
Mg 0.7868 0.7500 0.8001
Zn 0.2311 0.0073 0.6676
Zn 0.2311 0.4927 0.6676
Zn 0.2493 0.7500 0.3523
Zn 0.7507 0.2500 0.6477
Zn 0.7689 0.5073 0.3324
Zn 0.7689 0.9927 0.3324
Ga 0.3787 0.7500 0.0232
Ga 0.6213 0.2500 0.9768
! **Space group**: P2_1/m
! **Total moment**: 0.0 μB/cell
! **DOS(E_F)**: 0.20 states/eV per atom
! **Formation energy from the elements**: -0.0237 eV/atom
! **Crystal system**: monoclinic
! **Electronic total energy**: -1.7124 eV/atom
! **ρ**: 5.54 g/cm3

Entry 6:
! MgZn2Ga2, relaxed, DFT PBE; values from VASP
&SYSTEM
  ibrav = 0, nat = 10, ntyp = 3
/
ATOMIC_SPECIES
Mg 24.30 Mg.upf
Zn 65.41 Zn.upf
Ga 69.72 Ga.upf
CELL_PARAMETERS angstrom
7.3900 0.0000 0.0000
0.0000 7.3900 0.0000
0.0000 0.0000 3.3456
ATOMIC_POSITIONS crystal
Mg 0.0000 0.0000 0.0000
Mg 0.5000 0.5000 0.0000
Zn 0.1234 0.3766 0.0000
Zn 0.3766 0.8766 0.0000
Zn 0.6234 0.1234 0.0000
Zn 0.8766 0.6234 0.0000
Ga 0.1766 0.6766 0.5000
Ga 0.3234 0.1766 0.5000
Ga 0.6766 0.8234 0.5000
Ga 0.8234 0.3234 0.5000
! **Space group**: P4/mbm
! **Total moment**: 0.0 μB/cell
! **DOS(E_F)**: 0.40 states/eV per atom
! **Formation energy from the elements**: 0.0043 eV/atom
! **Crystal system**: tetragonal
! **Electronic total energy**: -2.0350 eV/atom
! **ρ**: 5.35 g/cm3

Entry 7:
! MgZn12Ga6, relaxed, DFT PBE; values from VASP
&SYSTEM
  ibrav = 0, nat = 19, ntyp = 3
/
ATOMIC_SPECIES
Mg 24.30 Mg.upf
Zn 65.41 Zn.upf
Ga 69.72 Ga.upf
CELL_PARAMETERS angstrom
5.7972 3.3470 2.9178
-5.7972 3.3470 2.9178
0.0000 -6.6940 2.9178
ATOMIC_POSITIONS crystal
Mg 0.0000 0.0000 0.0000
Zn 0.1099 0.5000 0.8901
Zn 0.1099 0.8901 0.5000
Zn 0.1126 0.3480 0.3480
Zn 0.3480 0.1126 0.3480
Zn 0.3480 0.3480 0.1126
Zn 0.5000 0.1099 0.8901
Zn 0.5000 0.8901 0.1099
Zn 0.6520 0.6520 0.8874
Zn 0.6520 0.8874 0.6520
Zn 0.8874 0.6520 0.6520
Zn 0.8901 0.1099 0.5000
Zn 0.8901 0.5000 0.1099
Ga 0.2950 0.6955 0.6955
Ga 0.3045 0.3045 0.7050
Ga 0.3045 0.7050 0.3045
Ga 0.6955 0.2950 0.6955
Ga 0.6955 0.6955 0.2950
Ga 0.7050 0.3045 0.3045
! **Space group**: R-3m
! **Total moment**: 0.0 μB/cell
! **DOS(E_F)**: 0.35 states/eV per atom
! **Formation energy from the elements**: 0.0802 eV/atom
! **Crystal system**: trigonal
! **Electronic total energy**: -1.7642 eV/atom
! **ρ**: 6.00 g/cm3

Entry 8:
! Mg2Zn2Ga7, relaxed, DFT PBE; values from VASP
&SYSTEM
  ibrav = 0, nat = 11, ntyp = 3
/
ATOMIC_SPECIES
Mg 24.30 Mg.upf
Zn 65.41 Zn.upf
Ga 69.72 Ga.upf
CELL_PARAMETERS angstrom
5.3311 -4.1260 0.0000
5.3311 4.1260 0.0000
-2.8912 0.0000 4.8070
ATOMIC_POSITIONS crystal
Mg 0.1899 0.8101 0.0000
Mg 0.8101 0.1899 0.0000
Zn 0.2243 0.2243 0.4559
Zn 0.7757 0.7757 0.5441
Ga 0.0000 0.0000 0.5000
Ga 0.0945 0.5604 0.2820
Ga 0.4396 0.9055 0.7180
Ga 0.4935 0.4935 0.2329
Ga 0.5065 0.5065 0.7671
Ga 0.5604 0.0945 0.2820
Ga 0.9055 0.4396 0.7180
! **Space group**: C2/m
! **Total moment**: 0.0 μB/cell
! **DOS(E_F)**: 0.29 states/eV per atom
! **Formation energy from the elements**: -0.0209 eV/atom
! **Crystal system**: monoclinic
! **Electronic total energy**: -2.4686 eV/atom
! **ρ**: 5.24 g/cm3

Entry 9:
! Mg3Zn6Ga5, relaxed, DFT PBE; values from VASP
&SYSTEM
  ibrav = 0, nat = 28, ntyp = 3
/
ATOMIC_SPECIES
Mg 24.30 Mg.upf
Zn 65.41 Zn.upf
Ga 69.72 Ga.upf
CELL_PARAMETERS angstrom
4.1755 0.0000 0.0000
0.0000 12.8523 0.0000
0.0000 0.0000 9.2560
ATOMIC_POSITIONS crystal
Mg 0.2500 0.0717 0.2366
Mg 0.2500 0.4283 0.2366
Mg 0.2500 0.7500 0.2136
Mg 0.7500 0.2500 0.7864
Mg 0.7500 0.5717 0.7634
Mg 0.7500 0.9283 0.7634
Zn 0.2500 0.0510 0.5604
Zn 0.2500 0.2500 0.0242
Zn 0.2500 0.2500 0.5778
Zn 0.2500 0.4490 0.5604
Zn 0.2500 0.5848 0.9959
Zn 0.2500 0.9152 0.9959
Zn 0.7500 0.0848 0.0041
Zn 0.7500 0.4152 0.0041
Zn 0.7500 0.5510 0.4396
Zn 0.7500 0.7500 0.4222
Zn 0.7500 0.7500 0.9758
Zn 0.7500 0.9490 0.4396
Ga 0.2500 0.0904 0.8315
Ga 0.2500 0.4096 0.8315
Ga 0.2500 0.6489 0.5532
Ga 0.2500 0.7500 0.8050
Ga 0.2500 0.8511 0.5532
Ga 0.7500 0.1489 0.4468
Ga 0.7500 0.2500 0.1950
Ga 0.7500 0.3511 0.4468
Ga 0.7500 0.5904 0.1685
Ga 0.7500 0.9096 0.1685
! **Space group**: Pmmn
! **Total moment**: 0.0 μB/cell
! **DOS(E_F)**: 0.31 states/eV per atom
! **Formation energy from the elements**: -0.0545 eV/atom
! **Crystal system**: orthorhombic
! **Electronic total energy**: -2.0232 eV/atom
! **ρ**: 5.44 g/cm3

Entry 10:
! MgZn12Ga6, relaxed, DFT PBE; values from VASP
&SYSTEM
  ibrav = 0, nat = 19, ntyp = 3
/
ATOMIC_SPECIES
Mg 24.30 Mg.upf
Zn 65.41 Zn.upf
Ga 69.72 Ga.upf
CELL_PARAMETERS angstrom
6.3387 3.6596 2.2472
-6.3387 3.6596 2.2472
0.0000 -7.3193 2.2472
ATOMIC_POSITIONS crystal
Mg 0.0000 0.0000 0.0000
Zn 0.1011 0.1510 0.7344
Zn 0.1510 0.7344 0.1011
Zn 0.2121 0.3147 0.4738
Zn 0.2656 0.8989 0.8490
Zn 0.3147 0.4738 0.2121
Zn 0.4738 0.2121 0.3147
Zn 0.5262 0.7879 0.6853
Zn 0.6853 0.5262 0.7879
Zn 0.7344 0.1011 0.1510
Zn 0.7879 0.6853 0.5262
Zn 0.8490 0.2656 0.8989
Zn 0.8989 0.8490 0.2656
Ga 0.0653 0.5846 0.3773
Ga 0.3773 0.0653 0.5846
Ga 0.4154 0.6227 0.9347
Ga 0.5846 0.3773 0.0653
Ga 0.6227 0.9347 0.4154
Ga 0.9347 0.4154 0.6227
! **Space group**: R-3
! **Total moment**: 0.0 μB/cell
! **DOS(E_F)**: 0.24 states/eV per atom
! **Formation energy from the elements**: 0.0173 eV/atom
! **Crystal system**: trigonal
! **Electronic total energy**: -1.8271 eV/atom
! **ρ**: 6.52 g/cm3

Entry 11:
! Mg3Zn2Ga, relaxed, DFT PBE; values from VASP
&SYSTEM
  ibrav = 0, nat = 6, ntyp = 3
/
ATOMIC_SPECIES
Mg 24.30 Mg.upf
Zn 65.41 Zn.upf
Ga 69.72 Ga.upf
CELL_PARAMETERS angstrom
2.1680 -6.5463 0.0000
2.1680 6.5463 0.0000
0.0000 0.0000 3.9076
ATOMIC_POSITIONS crystal
Mg 0.0000 0.0000 0.0000
Mg 0.3327 0.6673 0.0000
Mg 0.6673 0.3327 0.0000
Zn 0.1709 0.8291 0.5000
Zn 0.8291 0.1709 0.5000
Ga 0.5000 0.5000 0.5000
! **Space group**: Cmmm
! **Total moment**: 0.0 μB/cell
! **DOS(E_F)**: 0.34 states/eV per atom
! **Formation energy from the elements**: -0.0860 eV/atom
! **Crystal system**: orthorhombic
! **Electronic total energy**: -1.8124 eV/atom
! **ρ**: 4.09 g/cm3

Entry 12:
! Mg2Zn15Ga2, relaxed, DFT PBE; values from VASP
&SYSTEM
  ibrav = 0, nat = 19, ntyp = 3
/
ATOMIC_SPECIES
Mg 24.30 Mg.upf
Zn 65.41 Zn.upf
Ga 69.72 Ga.upf
CELL_PARAMETERS angstrom
4.5462 2.6248 4.3437
-4.5462 2.6248 4.3437
0.0000 -5.2495 4.3437
ATOMIC_POSITIONS crystal
Mg 0.1357 0.1357 0.1357
Mg 0.8643 0.8643 0.8643
Zn 0.0000 0.5000 0.5000
Zn 0.1612 0.1612 0.6728
Zn 0.1612 0.6728 0.1612
Zn 0.1670 0.5000 0.8330
Zn 0.1670 0.8330 0.5000
Zn 0.3272 0.8388 0.8388
Zn 0.5000 0.0000 0.5000
Zn 0.5000 0.1670 0.8330
Zn 0.5000 0.5000 0.0000
Zn 0.5000 0.8330 0.1670
Zn 0.6728 0.1612 0.1612
Zn 0.8330 0.1670 0.5000
Zn 0.8330 0.5000 0.1670
Zn 0.8388 0.3272 0.8388
Zn 0.8388 0.8388 0.3272
Ga 0.4012 0.4012 0.4012
Ga 0.5988 0.5988 0.5988
! **Space group**: R-3m
! **Total moment**: 0.0 μB/cell
! **DOS(E_F)**: 0.25 states/eV per atom
! **Formation energy from the elements**: -0.0106 eV/atom
! **Crystal system**: trigonal
! **Electronic total energy**: -1.5028 eV/atom
! **ρ**: 6.24 g/cm3